Record 1
## YAl4Ga (PBE)

Data for a relaxed YAl4Ga crystal.

Computed properties:
symmetry = No. 216
VASP energy = -4.27 eV/atom
spin magnetization = 0.00 μB per formula unit
ΔE to the lowest computed polymorph = 0.036 eV/atom
calculated formation energy = -0.19 eV/atom

```
6
Lattice="0.000 3.886 3.886 3.886 0.000 3.886 3.886 3.886 0.000" Properties=species:S:1:pos:R:3 pbc="T T T"
Y 0.000 0.000 0.000
Al 2.912 2.912 2.912
Al 4.859 4.859 2.912
Al 4.859 2.912 4.859
Al 2.912 4.859 4.859
Ga 5.828 5.828 5.828
```

Record 2
## Y2AlGa (PBE)

Data for a relaxed Y2AlGa crystal.

Computed properties:
symmetry = No. 166
VASP energy = -4.89 eV/atom
spin magnetization = 0.00 μB per formula unit
calculated formation energy = 0.04 eV/atom

```
4
Lattice="1.745 1.007 10.535 -1.745 1.007 10.535 0.000 -2.015 10.535" Properties=species:S:1:pos:R:3 pbc="T T T"
Y 0.000 0.000 3.000
Y 0.000 0.000 28.604
Al 0.000 0.000 15.802
Ga 0.000 0.000 0.000
```

Record 3
## YAl2Ga (PBE)

Data for a relaxed YAl2Ga crystal.

Computed properties:
symmetry = No. 123
VASP energy = -4.70 eV/atom
spin magnetization = 0.00 μB per formula unit
calculated formation energy = -0.45 eV/atom

```
4
Lattice="4.237 0.000 0.000 0.000 4.237 0.000 0.000 0.000 4.324" Properties=species:S:1:pos:R:3 pbc="T T T"
Y 0.000 0.000 0.000
Al 0.000 2.119 2.162
Al 2.119 0.000 2.162
Ga 2.119 2.119 0.000
```

Record 4
## YAlGa (PBE)

Data for a relaxed YAlGa crystal.

Computed properties:
symmetry = No. 63
VASP energy = -4.82 eV/atom
spin magnetization = 0.00 μB per formula unit
calculated formation energy = -0.41 eV/atom

```
6
Lattice="2.675 -4.025 0.000 2.675 4.025 0.000 0.000 0.000 5.918" Properties=species:S:1:pos:R:3 pbc="T T T"
Y 2.675 2.762 4.438
Y 2.675 -2.762 1.479
Al 2.675 0.000 0.000
Al 2.675 0.000 2.959
Ga 2.675 2.394 1.479
Ga 2.675 -2.394 4.438
```

Record 5
## YAlGa (PBE)

Data for a relaxed YAlGa crystal.

Computed properties:
symmetry = No. 107
VASP energy = -4.52 eV/atom
spin magnetization = 0.00 μB per formula unit
calculated formation energy = -0.11 eV/atom

```
3
Lattice="-2.016 2.016 4.277 2.016 -2.016 4.277 2.016 2.016 -4.277" Properties=species:S:1:pos:R:3 pbc="T T T"
Y 0.000 0.000 0.000
Al 0.000 0.000 5.576
Ga 0.000 0.000 2.916
```

Record 6
## YAl4Ga (PBE)

Data for a relaxed YAl4Ga crystal.

Computed properties:
symmetry = No. 71
VASP energy = -4.30 eV/atom
spin magnetization = 0.00 μB per formula unit
ΔE to the lowest computed polymorph = 0.000 eV/atom
calculated formation energy = -0.23 eV/atom

```
6
Lattice="-2.292 2.976 4.239 2.292 -2.976 4.239 2.292 2.976 -4.239" Properties=species:S:1:pos:R:3 pbc="T T T"
Y 0.000 0.000 0.000
Al 2.292 1.547 -1.416
Al 2.292 1.547 1.416
Al 0.000 1.428 2.823
Al 0.000 1.428 5.655
Ga 0.000 2.976 0.000
```

Record 7
## Y3Al6Ga5 (PBE)

Data for a relaxed Y3Al6Ga5 crystal.

Computed properties:
symmetry = No. 59
VASP energy = -4.48 eV/atom
spin magnetization = 0.00 μB per formula unit
calculated formation energy = -0.41 eV/atom

```
28
Lattice="4.214 0.000 0.000 0.000 12.845 0.000 0.000 0.000 9.960" Properties=species:S:1:pos:R:3 pbc="T T T"
Y 1.053 0.919 2.475
Y 1.053 5.503 2.475
Y 1.053 9.634 2.593
Y 3.160 3.211 7.368
Y 3.160 7.341 7.486
Y 3.160 11.926 7.486
Al 1.053 1.025 6.072
Al 1.053 3.211 0.214
Al 1.053 3.211 4.588
Al 1.053 5.398 6.072
Al 1.053 7.718 9.819
Al 1.053 11.550 9.819
Al 3.160 1.295 0.142
Al 3.160 5.127 0.142
Al 3.160 7.447 3.888
Al 3.160 9.634 5.372
Al 3.160 9.634 9.746
Al 3.160 11.820 3.888
Ga 1.053 1.103 8.602
Ga 1.053 5.319 8.602
Ga 1.053 7.916 5.308
Ga 1.053 9.634 7.776
Ga 1.053 11.351 5.308
Ga 3.160 1.494 4.652
Ga 3.160 3.211 2.184
Ga 3.160 4.929 4.652
Ga 3.160 7.525 1.358
Ga 3.160 11.742 1.358
```

Record 8
## YAlGa3 (PBE)

Data for a relaxed YAlGa3 crystal.

Computed properties:
symmetry = No. 59
VASP energy = -4.12 eV/atom
spin magnetization = 0.00 μB per formula unit
ΔE to the lowest computed polymorph = 0.000 eV/atom
calculated formation energy = -0.27 eV/atom

```
10
Lattice="4.314 0.000 0.000 0.000 6.729 0.000 0.000 0.000 6.938" Properties=species:S:1:pos:R:3 pbc="T T T"
Y 1.078 1.682 1.266
Y 3.235 5.046 5.672
Al 1.078 5.046 3.327
Al 3.235 1.682 3.610
Ga 1.078 0.389 4.955
Ga 1.078 2.975 4.955
Ga 1.078 5.046 0.749
Ga 3.235 1.682 6.189
Ga 3.235 3.753 1.983
Ga 3.235 6.339 1.983
```

Record 9
## Y3AlGa4 (PBE)

Data for a relaxed Y3AlGa4 crystal.

Computed properties:
symmetry = No. 71
VASP energy = -4.79 eV/atom
spin magnetization = 0.00 μB per formula unit
calculated formation energy = -0.38 eV/atom

```
8
Lattice="-1.859 3.121 8.107 1.859 -3.121 8.107 1.859 3.121 -8.107" Properties=species:S:1:pos:R:3 pbc="T T T"
Y 0.000 0.000 0.000
Y 1.859 0.000 4.745
Y 0.000 3.121 3.362
Al 0.000 0.000 8.107
Ga 1.859 1.304 -2.001
Ga 1.859 1.304 2.001
Ga 0.000 1.817 6.106
Ga 0.000 1.817 10.108
```

Record 10
## YAl2Ga2 (PBE)

Data for a relaxed YAl2Ga2 crystal.

Computed properties:
symmetry = No. 127
VASP energy = -4.21 eV/atom
spin magnetization = 0.01 μB per formula unit
calculated formation energy = -0.21 eV/atom

```
10
Lattice="7.740 0.000 0.000 0.000 7.740 0.000 0.000 0.000 3.266" Properties=species:S:1:pos:R:3 pbc="T T T"
Y 0.000 0.000 0.000
Y 3.870 3.870 0.000
Al 0.957 2.913 0.000
Al 2.913 6.783 0.000
Al 4.827 0.957 0.000
Al 6.783 4.827 0.000
Ga 1.320 5.190 1.633
Ga 2.550 1.320 1.633
Ga 5.190 6.420 1.633
Ga 6.420 2.550 1.633
```

Record 11
## YAl4Ga (PBE)

Data for a relaxed YAl4Ga crystal.

Computed properties:
symmetry = No. 141
VASP energy = -3.99 eV/atom
spin magnetization = 0.00 μB per formula unit
ΔE to the lowest computed polymorph = 0.311 eV/atom
calculated formation energy = 0.08 eV/atom

```
12
Lattice="-2.577 2.577 10.245 2.577 -2.577 10.245 2.577 2.577 -10.245" Properties=species:S:1:pos:R:3 pbc="T T T"
Y 2.577 1.288 2.561
Y 0.000 1.288 7.684
Al 1.312 1.288 -0.413
Al 3.841 1.288 -0.413
Al 0.000 0.024 4.709
Al 2.577 0.024 5.536
Al 0.000 2.553 4.709
Al 2.577 2.553 5.536
Al -1.264 1.288 10.658
Al 1.264 1.288 10.658
Ga 2.577 -1.288 7.684
Ga 0.000 3.865 2.561
```

Record 12
## Y4Al2Ga (PBE)

Data for a relaxed Y4Al2Ga crystal.

Computed properties:
symmetry = No. 166
VASP energy = -5.51 eV/atom
spin magnetization = 0.00 μB per formula unit
calculated formation energy = -0.32 eV/atom

```
7
Lattice="2.532 1.462 8.286 -2.532 1.462 8.286 0.000 -2.924 8.286" Properties=species:S:1:pos:R:3 pbc="T T T"
Y 0.000 0.000 3.025
Y 0.000 0.000 9.273
Y 0.000 0.000 15.584
Y 0.000 0.000 21.831
Al 0.000 0.000 6.216
Al 0.000 0.000 18.641
Ga 0.000 0.000 12.428
```

What did the fourth record say?
## YAlGa (PBE)

Data for a relaxed YAlGa crystal.

Computed properties:
symmetry = No. 63
VASP energy = -4.82 eV/atom
spin magnetization = 0.00 μB per formula unit
calculated formation energy = -0.41 eV/atom

```
6
Lattice="2.675 -4.025 0.000 2.675 4.025 0.000 0.000 0.000 5.918" Properties=species:S:1:pos:R:3 pbc="T T T"
Y 2.675 2.762 4.438
Y 2.675 -2.762 1.479
Al 2.675 0.000 0.000
Al 2.675 0.000 2.959
Ga 2.675 2.394 1.479
Ga 2.675 -2.394 4.438
```

- What is the formula in the ninth record?
  Y3AlGa4